(1)
Crystalline YMnAu2 at its relaxed geometry. Source: the Alexandria database, functional PBE.

Computed properties:
N(E_F)	1.31	states/eV/f.u.
total moment	4.19	μB/cell
ΔH_f (0 K)	-0.4369	eV/atom

a = 3.440 Å, b = 3.440 Å, c = 6.752 Å
α = 90.00°, β = 90.00°, γ = 90.00°
Element x y z (fractional)
Y1 0.000 0.000 0.000
Mn1 0.000 0.000 0.500
Au1 0.500 0.500 0.280
Au2 0.500 0.500 0.720

(2)
Crystalline YMn2Au at its relaxed geometry. Source: the Alexandria database, functional PBE.

Computed properties:
N(E_F)	3.95	states/eV/f.u.
relative energy among the computed polymorphs	165.6	meV per atom
total moment	13.52	μB/cell
ΔH_f (0 K)	0.0490	eV/atom

a = 4.169 Å, b = 4.169 Å, c = 8.500 Å
α = 90.00°, β = 90.00°, γ = 90.00°
Element x y z (fractional)
Y1 0.000 0.000 0.000
Y2 0.500 0.500 0.500
Mn1 0.000 0.500 0.250
Mn2 0.000 0.500 0.750
Mn3 0.500 0.000 0.250
Mn4 0.500 0.000 0.750
Au1 0.000 0.000 0.500
Au2 0.500 0.500 0.000

(3)
Crystalline YMnAu2 at its relaxed geometry. Source: the Alexandria database, functional PBE.

Computed properties:
N(E_F)	1.11	states/eV/f.u.
total moment	16.20	μB/cell
ΔH_f (0 K)	-0.3107	eV/atom

a = 6.774 Å, b = 6.774 Å, c = 6.774 Å
α = 90.00°, β = 90.00°, γ = 90.00°
Element x y z (fractional)
Y1 0.000 0.000 0.000
Y2 0.000 0.500 0.500
Y3 0.500 0.000 0.500
Y4 0.500 0.500 0.000
Mn1 0.250 0.250 0.750
Mn2 0.250 0.750 0.250
Mn3 0.750 0.250 0.250
Mn4 0.750 0.750 0.750
Au1 0.000 0.000 0.500
Au2 0.000 0.500 0.000
Au3 0.250 0.250 0.250
Au4 0.250 0.750 0.750
Au5 0.500 0.000 0.000
Au6 0.500 0.500 0.500
Au7 0.750 0.250 0.750
Au8 0.750 0.750 0.250

(4)
Crystalline YMnAu4 at its relaxed geometry. Source: the Alexandria database, functional PBE.

Computed properties:
N(E_F)	5.55	states/eV/f.u.
total moment	4.73	μB/cell
ΔH_f (0 K)	-0.2334	eV/atom

a = 5.544 Å, b = 5.544 Å, c = 5.544 Å
α = 60.00°, β = 60.00°, γ = 60.00°
Element x y z (fractional)
Y1 0.000 0.000 0.000
Mn1 0.250 0.250 0.250
Au1 0.126 0.625 0.625
Au2 0.625 0.126 0.625
Au3 0.625 0.625 0.126
Au4 0.625 0.625 0.625

(5)
Crystalline YMn2Au at its relaxed geometry. Source: the Alexandria database, functional PBE.

Computed properties:
N(E_F)	2.54	states/eV/f.u.
relative energy among the computed polymorphs	228.4	meV per atom
total moment	7.23	μB/cell
ΔH_f (0 K)	0.1119	eV/atom

a = 3.323 Å, b = 4.595 Å, c = 5.373 Å
α = 90.00°, β = 100.64°, γ = 90.00°
Element x y z (fractional)
Y1 0.000 0.000 0.000
Mn1 0.366 0.500 0.733
Mn2 0.634 0.500 0.267
Au1 0.500 0.000 0.500

(6)
Crystalline YMnAu at its relaxed geometry. Source: the Alexandria database, functional PBE.

Computed properties:
N(E_F)	2.74	states/eV/f.u.
total moment	7.43	μB/cell
ΔH_f (0 K)	-0.2340	eV/atom

a = 3.539 Å, b = 3.539 Å, c = 9.907 Å
α = 90.00°, β = 90.00°, γ = 90.00°
Element x y z (fractional)
Y1 0.000 0.000 0.000
Y2 0.500 0.500 0.500
Mn1 0.000 0.000 0.318
Mn2 0.500 0.500 0.818
Au1 0.000 0.000 0.682
Au2 0.500 0.500 0.182

(7)
Crystalline YMnAu3 at its relaxed geometry. Source: the Alexandria database, functional PBE.

Computed properties:
N(E_F)	2.32	states/eV/f.u.
relative energy among the computed polymorphs	663.1	meV per atom
total moment	5.17	μB/cell
ΔH_f (0 K)	0.6967	eV/atom

a = 5.389 Å, b = 5.389 Å, c = 5.389 Å
α = 90.00°, β = 90.00°, γ = 90.00°
Element x y z (fractional)
Y1 0.000 0.000 0.000
Mn1 0.500 0.500 0.500
Au1 0.000 0.000 0.500
Au2 0.000 0.500 0.000
Au3 0.500 0.000 0.000

(8)
Crystalline YMn2Au at its relaxed geometry. Source: the Alexandria database, functional PBE.

Computed properties:
N(E_F)	4.50	states/eV/f.u.
relative energy among the computed polymorphs	467.8	meV per atom
total moment	17.62	μB/cell
ΔH_f (0 K)	0.3513	eV/atom

a = 4.190 Å, b = 4.190 Å, c = 18.920 Å
α = 90.00°, β = 90.00°, γ = 90.00°
Element x y z (fractional)
Y1 0.000 0.000 0.000
Y2 0.000 0.500 0.250
Y3 0.500 0.000 0.750
Y4 0.500 0.500 0.500
Mn1 0.084 0.250 0.625
Mn2 0.250 0.584 0.875
Mn3 0.250 0.916 0.375
Mn4 0.416 0.250 0.125
Mn5 0.584 0.750 0.125
Mn6 0.750 0.084 0.375
Mn7 0.750 0.416 0.875
Mn8 0.916 0.750 0.625
Au1 0.000 0.000 0.500
Au2 0.000 0.500 0.750
Au3 0.500 0.000 0.250
Au4 0.500 0.500 0.000